# 1
Compound: Ac3CuNi2
Source: the Alexandria database
Functional: GGA-PBE
Structure: relaxed Values from VASP.

Values from the calculation:
- SG = Pnma, No. 62
- volume (Å³/f.u.) = 162.8
- calculated total energy (eV/atom) = -4.858

```
&SYSTEM
  ibrav = 0, nat = 24, ntyp = 3
/
ATOMIC_SPECIES
Ni 58.69 Ni.upf
Ac 227.00 Ac.upf
Cu 63.55 Cu.upf
ATOMIC_POSITIONS crystal
Ni 0.7500 0.3177 0.5352
Ac 0.2500 0.0804 0.8876
Cu 0.7500 0.6128 0.3708
Ni 0.7500 0.4819 0.2136
Cu 0.7500 0.8872 0.8708
Ac 0.2500 0.6609 0.1993
Ni 0.2500 0.9819 0.2864
Ni 0.7500 0.1823 0.0352
Cu 0.2500 0.3872 0.6292
Ac 0.7500 0.8614 0.4239
Ac 0.7500 0.3391 0.8007
Ac 0.7500 0.1609 0.3007
Ni 0.7500 0.0181 0.7136
Cu 0.2500 0.1128 0.1292
Ac 0.2500 0.1386 0.5761
Ac 0.7500 0.5804 0.6124
Ac 0.7500 0.6386 0.9239
Ni 0.2500 0.5181 0.7864
Ac 0.2500 0.8391 0.6993
Ac 0.2500 0.4196 0.3876
Ac 0.2500 0.3614 0.0761
Ac 0.7500 0.9196 0.1124
Ni 0.2500 0.6823 0.4648
Ni 0.2500 0.8177 0.9648
CELL_PARAMETERS angstrom
-3.1236 -2.2256 1.4661
5.2531 -0.0946 11.0486
-6.3080 10.8907 3.0925
```

=====

# 2
Compound: Ac4Cu2Ni
Source: the Alexandria database
Functional: GGA-PBE
Structure: relaxed Values from VASP.

Values from the calculation:
- energy above the most stable polymorph in this dataset (kcal/mol of atoms) = 3.37
- SG = I4/mmm, No. 139
- volume (Å³/f.u.) = 236.4
- calculated total energy (eV/atom) = -4.323

```
&SYSTEM
  ibrav = 0, nat = 7, ntyp = 3
/
ATOMIC_SPECIES
Ac 227.00 Ac.upf
Cu 63.55 Cu.upf
Ni 58.69 Ni.upf
ATOMIC_POSITIONS crystal
Ac 0.5000 0.0000 0.0000
Cu 0.5912 0.5912 0.1824
Ac 0.7973 0.7973 0.5946
Ni 0.0000 0.0000 0.0000
Cu 0.4088 0.4088 0.8176
Ac 0.0000 0.5000 0.0000
Ac 0.2027 0.2027 0.4054
CELL_PARAMETERS angstrom
-3.3018 3.2379 3.3478
-4.0447 -4.0281 -0.0933
6.6072 -2.6869 4.2471
```

=====

# 3
Compound: Ac4CuNi3
Source: the Alexandria database
Functional: GGA-PBE
Structure: relaxed Values from VASP.

Values from the calculation:
- SG = Pmm2, No. 25
- volume (Å³/f.u.) = 210.0
- calculated total energy (eV/atom) = -4.953

```
&SYSTEM
  ibrav = 0, nat = 8, ntyp = 3
/
ATOMIC_SPECIES
Ni 58.69 Ni.upf
Cu 63.55 Cu.upf
Ac 227.00 Ac.upf
ATOMIC_POSITIONS crystal
Ni 0.0000 0.5000 0.5707
Cu 0.5000 0.5000 0.0639
Ni 0.5000 0.0000 0.9344
Ni 0.0000 0.0000 0.4323
Ac 0.5000 0.0000 0.6331
Ac 0.5000 0.5000 0.3697
Ac 0.0000 0.0000 0.1372
Ac 0.0000 0.5000 0.8587
CELL_PARAMETERS angstrom
-4.0407 0.4308 -0.1382
-0.4457 -4.4312 -0.7787
-0.5890 -1.9170 11.2453
```

=====

# 4
Compound: AcCuNi
Source: the Alexandria database
Functional: GGA-PBE
Structure: relaxed Values from VASP.

Values from the calculation:
- energy above the most stable polymorph in this dataset (kcal/mol of atoms) = 0.19
- SG = P-6m2, No. 187
- volume (Å³/f.u.) = 65.4
- calculated total energy (eV/atom) = -4.904

```
&SYSTEM
  ibrav = 0, nat = 3, ntyp = 3
/
ATOMIC_SPECIES
Ni 58.69 Ni.upf
Cu 63.55 Cu.upf
Ac 227.00 Ac.upf
ATOMIC_POSITIONS crystal
Ni 0.1661 0.6667 0.3333
Cu 0.1671 0.0000 0.0000
Ac 0.6667 0.3333 0.6667
CELL_PARAMETERS angstrom
-3.2335 -2.1891 -1.3996
1.3822 -3.4165 2.1506
-2.6723 2.7562 1.8628
```

=====

# 5
Compound: Ac2Cu2Ni15
Source: the Alexandria database
Functional: GGA-PBE
Structure: relaxed Values from VASP.

Values from the calculation:
- SG = R-3m, No. 166
- volume (Å³/f.u.) = 257.5
- calculated total energy (eV/atom) = -5.550

```
&SYSTEM
  ibrav = 0, nat = 19, ntyp = 3
/
ATOMIC_SPECIES
Ni 58.69 Ni.upf
Cu 63.55 Cu.upf
Ac 227.00 Ac.upf
ATOMIC_POSITIONS crystal
Ni 0.1508 0.6596 0.6596
Ni 0.6596 0.6596 0.1508
Cu 0.9033 0.9033 0.9033
Ac 0.3429 0.3429 0.3429
Ac 0.6571 0.6571 0.6571
Ni 0.0000 0.5000 0.0000
Cu 0.0967 0.0967 0.0967
Ni 0.2860 0.7140 0.0000
Ni 0.5000 0.0000 0.0000
Ni 0.0000 0.7140 0.2860
Ni 0.0000 0.0000 0.5000
Ni 0.0000 0.2860 0.7140
Ni 0.3404 0.3404 0.8492
Ni 0.6596 0.1508 0.6596
Ni 0.2860 0.0000 0.7140
Ni 0.8492 0.3404 0.3404
Ni 0.3404 0.8492 0.3404
Ni 0.7140 0.2860 0.0000
Ni 0.7140 0.0000 0.2860
CELL_PARAMETERS angstrom
6.4021 -0.0443 -0.0395
0.7867 6.3537 -0.0395
0.7867 0.6904 6.3162
```

=====

# 6
Compound: Ac2Cu5Ni5
Source: the Alexandria database
Functional: GGA-PBE
Structure: relaxed Values from VASP.

Values from the calculation:
- SG = Pmmm, No. 47
- volume (Å³/f.u.) = 187.8
- calculated total energy (eV/atom) = -5.006

```
&SYSTEM
  ibrav = 0, nat = 12, ntyp = 3
/
ATOMIC_SPECIES
Cu 63.55 Cu.upf
Ac 227.00 Ac.upf
Ni 58.69 Ni.upf
ATOMIC_POSITIONS crystal
Cu 0.5000 0.0000 0.0000
Ac 0.0000 0.0000 0.5000
Ni 0.5000 0.5000 0.5000
Cu 0.0000 0.5000 0.6672
Ni 0.5000 0.2521 0.2506
Cu 0.0000 0.0000 0.8295
Ac 0.0000 0.5000 0.0000
Cu 0.0000 0.0000 0.1705
Ni 0.5000 0.2521 0.7494
Cu 0.0000 0.5000 0.3328
Ni 0.5000 0.7479 0.7494
Ni 0.5000 0.7479 0.2506
CELL_PARAMETERS angstrom
-3.2950 -1.9702 -1.0100
1.8625 -4.3081 2.3275
-3.8801 2.5130 7.7565
```

=====

# 7
Compound: AcCu2Ni
Source: the Alexandria database
Functional: GGA-PBE
Structure: relaxed Values from VASP.

Values from the calculation:
- energy above the most stable polymorph in this dataset (kcal/mol of atoms) = 0.00
- SG = R3m, No. 160
- volume (Å³/f.u.) = 77.9
- calculated total energy (eV/atom) = -4.707

```
&SYSTEM
  ibrav = 0, nat = 4, ntyp = 3
/
ATOMIC_SPECIES
Cu 63.55 Cu.upf
Ni 58.69 Ni.upf
Ac 227.00 Ac.upf
ATOMIC_POSITIONS crystal
Cu 0.0040 0.0040 0.9882
Cu 0.3020 0.3020 0.0940
Ni 0.6965 0.6965 0.9110
Ac 0.4975 0.4975 0.5068
CELL_PARAMETERS angstrom
-3.6985 -0.9797 1.7757
-0.9568 -4.0291 0.8018
0.5410 -1.2529 5.4457
```

=====

# 8
Compound: AcCu3Ni2
Source: the Alexandria database
Functional: GGA-PBE
Structure: relaxed Values from VASP.

Values from the calculation:
- energy above the most stable polymorph in this dataset (kcal/mol of atoms) = 0.00
- SG = Cmcm, No. 63
- volume (Å³/f.u.) = 98.5
- calculated total energy (eV/atom) = -4.807

```
&SYSTEM
  ibrav = 0, nat = 12, ntyp = 3
/
ATOMIC_SPECIES
Cu 63.55 Cu.upf
Ni 58.69 Ni.upf
Ac 227.00 Ac.upf
ATOMIC_POSITIONS crystal
Cu 0.2500 0.5426 0.9277
Cu 0.7500 0.4574 0.0723
Ni 0.0000 0.7836 0.2164
Ac 0.2500 0.3153 0.3153
Cu 0.2500 0.9380 0.9380
Ni 0.5000 0.7836 0.2164
Ni 0.5000 0.2164 0.7836
Cu 0.2500 0.9277 0.5426
Cu 0.7500 0.0620 0.0620
Ac 0.7500 0.6847 0.6847
Ni 0.0000 0.2164 0.7836
Cu 0.7500 0.0723 0.4574
CELL_PARAMETERS angstrom
5.0073 0.0000 0.0000
0.0000 6.2094 -1.1742
0.0000 0.0971 6.3187
```

=====

# 9
Compound: Ac2CuNi2
Source: the Alexandria database
Functional: GGA-PBE
Structure: relaxed Values from VASP.

Values from the calculation:
- energy above the most stable polymorph in this dataset (kcal/mol of atoms) = 0.32
- SG = P4/mbm, No. 127
- volume (Å³/f.u.) = 115.7
- calculated total energy (eV/atom) = -4.937

```
&SYSTEM
  ibrav = 0, nat = 20, ntyp = 3
/
ATOMIC_SPECIES
Ni 58.69 Ni.upf
Ac 227.00 Ac.upf
Cu 63.55 Cu.upf
ATOMIC_POSITIONS crystal
Ni 0.6138 0.1138 0.2500
Ac 0.3162 0.1837 0.5000
Ac 0.1838 0.6837 0.0000
Ni 0.8862 0.6138 0.2500
Ni 0.8862 0.6138 0.7500
Ni 0.1138 0.3862 0.7500
Ac 0.8162 0.3163 0.0000
Cu 0.5000 0.5000 0.2502
Cu 0.0000 0.0000 0.2498
Cu 0.0000 0.0000 0.7502
Ni 0.6138 0.1138 0.7500
Ni 0.1138 0.3862 0.2500
Ac 0.6838 0.8163 0.5000
Ac 0.1837 0.6838 0.5000
Ac 0.3163 0.1838 0.0000
Ni 0.3862 0.8862 0.7500
Ni 0.3862 0.8862 0.2500
Ac 0.6837 0.8162 0.0000
Ac 0.8163 0.3162 0.5000
Cu 0.5000 0.5000 0.7498
CELL_PARAMETERS angstrom
7.6169 0.0000 0.0000
0.0000 7.6168 0.0000
0.0000 0.0000 7.9764
```

=====

# 10
Compound: AcCu3Ni2
Source: the Alexandria database
Functional: GGA-PBE
Structure: relaxed Values from VASP.

Values from the calculation:
- energy above the most stable polymorph in this dataset (kcal/mol of atoms) = 8.03
- SG = R-3m, No. 166
- volume (Å³/f.u.) = 100.1
- calculated total energy (eV/atom) = -4.459

```
&SYSTEM
  ibrav = 0, nat = 12, ntyp = 3
/
ATOMIC_SPECIES
Ni 58.69 Ni.upf
Cu 63.55 Cu.upf
Ac 227.00 Ac.upf
ATOMIC_POSITIONS crystal
Ni 0.0000 0.0000 0.0000
Cu 0.3008 0.3008 0.6954
Ni 0.5000 0.5000 0.0000
Cu 0.6992 0.2970 0.3046
Cu 0.2970 0.6992 0.3046
Cu 0.6992 0.6992 0.3046
Ac 0.7812 0.7812 0.6564
Ni 0.5000 0.0000 0.0000
Cu 0.3008 0.7030 0.6954
Cu 0.7030 0.3008 0.6954
Ac 0.2188 0.2188 0.3436
Ni 0.0000 0.5000 0.0000
CELL_PARAMETERS angstrom
6.1676 0.0000 0.0000
3.0838 5.3413 0.0000
3.0838 1.7804 6.0774
```

=====

# 11
Compound: Ac2CuNi3
Source: the Alexandria database
Functional: GGA-PBE
Structure: relaxed Values from VASP.

Values from the calculation:
- energy above the most stable polymorph in this dataset (kcal/mol of atoms) = 0.05
- SG = Pmm2, No. 25
- volume (Å³/f.u.) = 128.1
- calculated total energy (eV/atom) = -5.194

```
&SYSTEM
  ibrav = 0, nat = 6, ntyp = 3
/
ATOMIC_SPECIES
Ni 58.69 Ni.upf
Ac 227.00 Ac.upf
Cu 63.55 Cu.upf
ATOMIC_POSITIONS crystal
Ni 0.5000 0.0000 0.8317
Ac 0.0000 0.0000 0.5068
Ac 0.0000 0.5000 0.9946
Ni 0.5000 0.0000 0.1598
Cu 0.5000 0.5000 0.3338
Ni 0.5000 0.5000 0.6733
CELL_PARAMETERS angstrom
-1.4208 0.5805 -3.8934
3.8976 -0.5179 -1.4996
-1.1924 -7.1480 -0.6307
```

=====

# 12
Compound: Ac3CuNi8
Source: the Alexandria database
Functional: GGA-PBE
Structure: relaxed Values from VASP.

Values from the calculation:
- SG = R3m, No. 160
- volume (Å³/f.u.) = 199.9
- calculated total energy (eV/atom) = -5.367

```
&SYSTEM
  ibrav = 0, nat = 12, ntyp = 3
/
ATOMIC_SPECIES
Ac 227.00 Ac.upf
Ni 58.69 Ni.upf
Cu 63.55 Cu.upf
ATOMIC_POSITIONS crystal
Ac 0.5097 0.5097 0.4708
Ac 0.3792 0.3792 0.8625
Ni 0.9395 0.9395 0.6752
Ni 0.9423 0.4343 0.1891
Ni 0.4458 0.9395 0.6752
Ni 0.4343 0.9423 0.1891
Ni 0.4343 0.4343 0.1891
Ni 0.9395 0.4458 0.6752
Cu 0.8616 0.8616 0.4152
Ac 0.9857 0.9857 0.0429
Ni 0.6880 0.6880 0.9359
Ni 0.1900 0.1900 0.4300
CELL_PARAMETERS angstrom
-0.3512 -3.5852 -3.7440
2.8836 -4.3144 0.2559
-5.3993 -6.5490 3.1726
```

=====

Magnetization values, unit μB per cell, following the record order: 0.00 0.00 0.00 0.00 5.33 0.00 0.00 0.00 0.00 0.35 0.00 0.00.